Entry 1:
Material: CdRe2W
Method: DFT, PBE
State: optimized geometry

```
CdRe2W
1.0
4.0686 0.0000 0.0000
0.0000 2.8306 0.0066
0.0000 2.8394 5.7689
Re W Cd
2 1 1
direct
0.5000 0.2405 0.2450
0.0000 0.9672 0.0354
0.0000 0.5415 0.4682
0.5000 0.7508 0.7514
```

The calculation puts the density of states at the Fermi level at 2.2 states/eV per cell. The electronic total energy comes out at -9.247 eV per atom. Its formation energy is 444 meV per atom. As for the density: 16731 kg/m³.

=====

Entry 2:
Material: TlCo2Tc
Method: DFT, PBE
State: optimized geometry

```
TlCo2Tc
1.0
-3.2966 -2.2720 0.7091
1.6381 -2.1870 0.6083
0.8937 0.3195 5.1780
Tl Co Tc
1 2 1
direct
0.5000 0.7945 0.7855
0.5000 0.0530 0.2689
0.0000 0.1827 0.0101
0.0000 0.4698 0.4356
```

The calculation puts the density of states at the Fermi level at 6.2 states/eV per cell. The electronic total energy comes out at -6.196 eV per atom. Its formation energy is 540 meV per atom. As for the density: 12081 kg/m³.

=====

Entry 3:
Material: In2CuTe
Method: DFT, PBE
State: optimized geometry

```
In2CuTe
1.0
3.1736 0.0000 0.0000
0.0000 3.7315 0.0000
0.0000 0.0000 8.2052
In Te Cu
2 1 1
direct
0.5000 0.5000 0.2372
0.0000 0.0000 0.9498
0.0000 0.0000 0.5555
0.5000 0.5000 0.7576
```

The calculation puts the density of states at the Fermi level at 1.6 states/eV per cell. The electronic total energy comes out at -3.064 eV per atom. As for the density: 7191 kg/m³. The calculation puts the raw formation energy at 0.115 eV/atom.

=====

Entry 4:
Material: ErHfMgAl
Method: DFT, PBE
State: optimized geometry

```
ErHfMgAl
1.0
4.9703 0.0000 0.0000
2.4851 4.3044 0.0000
2.4851 1.4348 4.0582
Mg Al Hf Er
1 1 1 1
direct
0.0000 0.0000 0.0000
0.5000 0.5000 0.5000
0.7500 0.7500 0.7500
0.2500 0.2500 0.2500
```

The calculation puts the density of states at the Fermi level at 3.0 states/eV per cell. The electronic total energy comes out at -5.081 eV per atom. Its formation energy is -118 meV per atom. As for the density: 7594 kg/m³.